DFT (PBE) results for an optimized crystal structure of TbPmAg4.

Geometry as CIF:
```
data_TbPmAg4
_symmetry_space_group_name_H-M 'C 1 2/m 1'
_symmetry_Int_Tables_number 12
_cell_length_a 10.129
_cell_length_b 3.764
_cell_length_c 7.637
_cell_angle_alpha 90.00
_cell_angle_beta 112.06
_cell_angle_gamma 90.00
loop_
_symmetry_equiv_pos_as_xyz
'x,y,z'
'-x,-y,-z'
'-x,y,-z'
'x,-y,z'
'x+1/2,y+1/2,z'
'-x+1/2,-y+1/2,-z'
'-x+1/2,y+1/2,-z'
'x+1/2,-y+1/2,z'
loop_
_atom_site_label
_atom_site_type_symbol
_atom_site_fract_x
_atom_site_fract_y
_atom_site_fract_z
Tb1 Tb 0.000 0.000 0.000
Pm1 Pm 0.000 0.000 0.500
Ag1 Ag 0.170 0.500 0.329
Ag2 Ag 0.171 0.500 0.841
```

Properties
- theoretical density (g/cm3) = 9.05
- total magnetization (Bohr magnetons per cell) = 0.00
- polymorph energy (0 for the lowest one) (meV per atom) = 0
- energy relative to the elements (meV per atom) = -282.4
- D(E_F) (states/eV/cell) = 5.80